# NdPaAg2O8 (PBE-GGA, relaxed)
data_NdPaAg2O8
_chemical_formula_sum 'Nd1 Pa1 Ag2 O8'
_cell_length_a 6.300
_cell_length_b 6.300
_cell_length_c 6.300
_cell_angle_alpha 107.67
_cell_angle_beta 107.67
_cell_angle_gamma 113.13
_symmetry_space_group_name_H-M 'P 1'
_symmetry_Int_Tables_number 1
loop_
_symmetry_equiv_pos_as_xyz
'x,y,z'
loop_
_atom_site_label
_atom_site_type_symbol
_atom_site_fract_x
_atom_site_fract_y
_atom_site_fract_z
Nd1 Nd 0.250 0.750 0.500
Pa1 Pa 0.000 0.000 0.000
O1 O 0.971 0.279 0.308
Ag1 Ag 0.750 0.250 0.500
O2 O 0.907 0.734 0.173
Ag2 Ag 0.500 0.500 0.000
O3 O 0.337 0.029 0.308
O4 O 0.266 0.439 0.173
O5 O 0.721 0.029 0.692
O6 O 0.561 0.734 0.827
O7 O 0.266 0.093 0.827
O8 O 0.971 0.663 0.692
# Electronic total energy = -0.2353 hartree per atom
# Mass density = 6.22 g/cm³
# Raw formation energy = -1435 meV per atom
# Symmetry = No. 119